{
  "formula": "UReBr2O6",
  "functional": "PBE",
  "state": "relaxed",
  "lattice": [[5.8594, -2.7828, 0.0000], [5.8594, 2.7828, 0.0000], [-0.5385, 0.0000, 5.6356]],
  "species": ["U", "Re", "Br", "Br", "O", "O", "O", "O", "O", "O"],
  "fractional_positions": [[0.0000, 0.0000, 0.0000], [0.5000, 0.5000, 0.5000], [0.2444, 0.2444, 0.9786], [0.7556, 0.7556, 0.0214], [0.2493, 0.7468, 0.7491], [0.2532, 0.7507, 0.2509], [0.3469, 0.3469, 0.4719], [0.6531, 0.6531, 0.5281], [0.7468, 0.2493, 0.7491], [0.7507, 0.2532, 0.2509]],
  "formation_energy_uncorrected_mev_per_atom": -1600
}


{
  "formula": "TlH2Rh2",
  "functional": "PBE",
  "state": "relaxed",
  "lattice": [[6.2995, 0.0000, 0.0000], [0.0000, 6.2995, 0.0000], [0.0000, 0.0000, 2.9822]],
  "species": ["Tl", "Tl", "H", "H", "H", "H", "Rh", "Rh", "Rh", "Rh"],
  "fractional_positions": [[0.0000, 0.0000, 0.0000], [0.5000, 0.5000, 0.0000], [0.0595, 0.4405, 0.0000], [0.4405, 0.9405, 0.0000], [0.5595, 0.0595, 0.0000], [0.9405, 0.5595, 0.0000], [0.1502, 0.6502, 0.5000], [0.3498, 0.1502, 0.5000], [0.6502, 0.8498, 0.5000], [0.8498, 0.3498, 0.5000]],
  "total_energy_ev_per_atom": -4.402
}


{
  "formula": "CsMn2TcHg",
  "functional": "PBE",
  "state": "relaxed",
  "lattice": [[5.0506, 0.0000, 0.0000], [0.0000, 5.0506, 0.0000], [0.0000, 0.0000, 4.9667]],
  "species": ["Cs", "Mn", "Mn", "Tc", "Hg"],
  "fractional_positions": [[0.0000, 0.0000, 0.0000], [0.0000, 0.5000, 0.0000], [0.5000, 0.0000, 0.0000], [0.0000, 0.0000, 0.5000], [0.5000, 0.5000, 0.5000]],
  "ef_ev_per_atom": 2.463
}


{
  "formula": "Al2SiCl",
  "functional": "PBE",
  "state": "relaxed",
  "lattice": [[0.0000, 3.2686, 3.2686], [3.2686, 0.0000, 3.2686], [3.2686, 3.2686, 0.0000]],
  "species": ["Al", "Al", "Si", "Cl"],
  "fractional_positions": [[0.2500, 0.2500, 0.2500], [0.7500, 0.7500, 0.7500], [0.0000, 0.0000, 0.0000], [0.5000, 0.5000, 0.5000]],
  "formation_energy_uncorrected_mev_per_atom": 144
}


{
  "formula": "Rb2CdRuBr6",
  "functional": "PBE",
  "state": "relaxed",
  "lattice": [[-3.8296, 3.8296, 5.4005], [3.8296, -3.8296, 5.4005], [3.8296, 3.8296, -5.4005]],
  "species": ["Rb", "Rb", "Cd", "Ru", "Br", "Br", "Br", "Br", "Br", "Br"],
  "fractional_positions": [[0.2500, 0.7500, 0.5000], [0.7500, 0.2500, 0.5000], [0.0000, 0.0000, 0.0000], [0.5000, 0.5000, 0.0000], [0.2615, 0.2615, 0.0000], [0.2624, 0.2624, 0.5247], [0.2624, 0.7376, 0.0000], [0.7376, 0.2624, 0.0000], [0.7385, 0.7385, 0.0000], [0.7376, 0.7376, 0.4753]],
  "formation_energy_uncorrected_mev_per_atom": -880
}


{
  "formula": "La2HgRu",
  "functional": "PBE",
  "state": "relaxed",
  "lattice": [[-1.9521, 1.9576, 8.0141], [1.9521, -1.9576, 8.0141], [1.9521, 1.9576, -8.0141]],
  "species": ["La", "La", "Hg", "Ru"],
  "fractional_positions": [[0.1556, 0.1556, 0.0000], [0.8444, 0.8444, 0.0000], [0.5000, 0.5000, 0.0000], [0.0000, 0.0000, 0.0000]],
  "ef_ev_per_atom": 0.000
}


{
  "formula": "La2Nd6Y3Tm",
  "functional": "PBE",
  "state": "relaxed",
  "lattice": [[3.1644, -5.4832, 0.0000], [3.1644, 5.4832, 0.0000], [-2.1157, 0.0000, 11.8688]],
  "species": ["La", "La", "Nd", "Nd", "Nd", "Nd", "Nd", "Nd", "Y", "Y", "Y", "Tm"],
  "fractional_positions": [[0.1667, 0.8333, 0.0000], [0.8333, 0.1667, 0.0000], [0.0844, 0.4159, 0.7472], [0.2524, 0.2524, 0.2532], [0.4159, 0.0844, 0.7472], [0.5841, 0.9156, 0.2528], [0.7476, 0.7476, 0.7468], [0.9156, 0.5841, 0.2528], [0.0000, 0.0000, 0.5000], [0.3337, 0.6663, 0.5000], [0.6663, 0.3337, 0.5000], [0.5000, 0.5000, 0.0000]],
  "ef_ev_per_atom": 0.016
}


{
  "formula": "SrCrNi",
  "functional": "PBE",
  "state": "relaxed",
  "lattice": [[5.3648, 0.0000, 0.0000], [-2.6824, 4.6461, 0.0000], [0.0000, 0.0000, 8.8169]],
  "species": ["Sr", "Sr", "Cr", "Cr", "Ni", "Ni"],
  "fractional_positions": [[0.3333, 0.6667, 0.2500], [0.6667, 0.3333, 0.7500], [0.0000, 0.0000, 0.2500], [0.0000, 0.0000, 0.7500], [0.0000, 0.0000, 0.0000], [0.0000, 0.0000, 0.5000]],
  "ef_ev_per_atom": 1.243
}


{
  "formula": "Na2ZnHg",
  "functional": "PBE",
  "state": "relaxed",
  "lattice": [[1.6937, 0.9779, 11.0333], [-1.6937, 0.9779, 11.0333], [0.0000, -1.9557, 11.0333]],
  "species": ["Na", "Na", "Zn", "Hg"],
  "fractional_positions": [[0.0903, 0.0903, 0.0903], [0.9097, 0.9097, 0.9097], [0.0000, 0.0000, 0.0000], [0.5000, 0.5000, 0.5000]],
  "ef_ev_per_atom": 0.085
}


{
  "formula": "TaSBr2",
  "functional": "PBE",
  "state": "relaxed",
  "lattice": [[1.6060, 0.9272, 10.6998], [-1.6060, 0.9272, 10.6998], [0.0000, -1.8545, 10.6998]],
  "species": ["Ta", "S", "Br", "Br"],
  "fractional_positions": [[0.0000, 0.0000, 0.0000], [0.5000, 0.5000, 0.5000], [0.3933, 0.3933, 0.3933], [0.6067, 0.6067, 0.6067]],
  "formation_energy_uncorrected_mev_per_atom": 154
}


{
  "formula": "AgMo3Cl",
  "functional": "PBE",
  "state": "relaxed",
  "lattice": [[5.1526, 0.0000, 0.0000], [0.0000, 5.1526, 0.0000], [0.0000, 0.0000, 5.1526]],
  "species": ["Ag", "Mo", "Mo", "Mo", "Cl"],
  "fractional_positions": [[0.0000, 0.0000, 0.0000], [0.0000, 0.0000, 0.5000], [0.0000, 0.5000, 0.0000], [0.5000, 0.0000, 0.0000], [0.5000, 0.5000, 0.5000]],
  "formation_energy_uncorrected_mev_per_atom": 2504
}


{
  "formula": "CoBBr3",
  "functional": "PBE",
  "state": "relaxed",
  "lattice": [[4.7124, 0.0000, 0.0000], [0.0000, 4.7124, 0.0000], [0.0000, 0.0000, 4.7124]],
  "species": ["Co", "B", "Br", "Br", "Br"],
  "fractional_positions": [[0.0000, 0.0000, 0.0000], [0.5000, 0.5000, 0.5000], [0.0000, 0.5000, 0.5000], [0.5000, 0.0000, 0.5000], [0.5000, 0.5000, 0.0000]],
  "formation_energy_uncorrected_mev_per_atom": 936
}


{
  "formula": "Rb3Pb2I2Cl5",
  "functional": "PBE",
  "state": "relaxed",
  "lattice": [[-2.8504, 2.8504, 14.9983], [2.8504, -2.8504, 14.9983], [2.8504, 2.8504, -14.9983]],
  "species": ["Rb", "Rb", "Rb", "Pb", "Pb", "I", "I", "Cl", "Cl", "Cl", "Cl", "Cl"],
  "fractional_positions": [[0.0000, 0.0000, 0.0000], [0.1732, 0.1732, 0.0000], [0.8268, 0.8268, 0.0000], [0.4040, 0.4040, 0.0000], [0.5960, 0.5960, 0.0000], [0.2977, 0.2977, 0.0000], [0.7023, 0.7023, 0.0000], [0.0923, 0.5923, 0.5000], [0.4077, 0.9077, 0.5000], [0.5000, 0.5000, 0.0000], [0.5923, 0.0923, 0.5000], [0.9077, 0.4077, 0.5000]],
  "formation_energy_uncorrected_mev_per_atom": -1413
}


{
  "formula": "LaAlF",
  "functional": "PBE",
  "state": "relaxed",
  "lattice": [[3.3807, 0.0000, 0.0000], [0.0000, 3.3807, 0.0000], [0.0000, 0.0000, 5.5161]],
  "species": ["La", "Al", "F"],
  "fractional_positions": [[0.0000, 0.0000, 0.0000], [0.5000, 0.5000, 0.6193], [0.5000, 0.5000, 0.2774]],
  "formation_energy_uncorrected_mev_per_atom": -1514
}


{
  "formula": "K3MoCl8",
  "functional": "PBE",
  "state": "relaxed",
  "lattice": [[-3.5478, 3.5478, 6.9438], [3.5478, -3.5478, 6.9438], [3.5478, 3.5478, -6.9438]],
  "species": ["K", "K", "K", "Mo", "Cl", "Cl", "Cl", "Cl", "Cl", "Cl", "Cl", "Cl"],
  "fractional_positions": [[0.0000, 0.0000, 0.0000], [0.2500, 0.7500, 0.5000], [0.7500, 0.2500, 0.5000], [0.5000, 0.5000, 0.0000], [0.1811, 0.1811, 0.5779], [0.1811, 0.6032, 0.0000], [0.3968, 0.3968, 0.5779], [0.3968, 0.8189, 0.0000], [0.6032, 0.1811, 0.0000], [0.6032, 0.6032, 0.4221], [0.8189, 0.3968, 0.0000], [0.8189, 0.8189, 0.4221]],
  "formation_energy_uncorrected_mev_per_atom": -1140
}


{
  "formula": "Sc2MnAl",
  "functional": "PBE",
  "state": "relaxed",
  "lattice": [[3.3020, 0.0000, 0.0000], [0.0000, 3.3020, 0.0000], [0.0000, 0.0000, 6.8074]],
  "species": ["Sc", "Sc", "Mn", "Al"],
  "fractional_positions": [[0.0000, 0.0000, 0.2349], [0.0000, 0.0000, 0.7651], [0.5000, 0.5000, 0.0000], [0.5000, 0.5000, 0.5000]],
  "ef_ev_per_atom": -0.214
}


{
  "formula": "GePAuN",
  "functional": "PBE",
  "state": "relaxed",
  "lattice": [[4.2086, -1.5296, 0.0000], [4.2086, 1.5296, 0.0000], [-2.2367, 0.0000, 6.2583]],
  "species": ["Ge", "P", "Au", "N"],
  "fractional_positions": [[0.0000, 0.0000, 0.0000], [0.9226, 0.9226, 0.6305], [0.6217, 0.6217, 0.5547], [0.5237, 0.5237, 0.1504]],
  "formation_energy_uncorrected_mev_per_atom": 363
}


{
  "formula": "K3Pt2",
  "functional": "PBE",
  "state": "relaxed",
  "lattice": [[5.3157, 0.0000, 0.0000], [-2.6579, 4.6035, 0.0000], [0.0000, 0.0000, 6.4446]],
  "species": ["K", "K", "K", "Pt", "Pt"],
  "fractional_positions": [[0.0000, 0.0000, 0.0000], [0.3333, 0.6667, 0.3675], [0.6667, 0.3333, 0.6325], [0.3333, 0.6667, 0.9060], [0.6667, 0.3333, 0.0940]],
  "ef_ev_per_atom": 0.260
}


{
  "formula": "TcNiP2Se",
  "functional": "PBE",
  "state": "relaxed",
  "lattice": [[1.6523, 0.9540, 8.5074], [-1.6523, 0.9540, 8.5074], [0.0000, -1.9080, 8.5074]],
  "species": ["Tc", "Ni", "P", "P", "Se"],
  "fractional_positions": [[0.0000, 0.0000, 0.0000], [0.1066, 0.1066, 0.1066], [0.2727, 0.2727, 0.2727], [0.3908, 0.3908, 0.3908], [0.8305, 0.8305, 0.8305]],
  "formation_energy_uncorrected_mev_per_atom": -273
}


{
  "formula": "Tm6ZnFe2",
  "functional": "PBE",
  "state": "relaxed",
  "lattice": [[-4.6285, 4.6375, 4.8990], [4.6285, -4.6375, 4.8990], [4.6285, 4.6375, -4.8990]],
  "species": ["Tm", "Tm", "Tm", "Tm", "Tm", "Tm", "Tm", "Tm", "Tm", "Tm", "Tm", "Tm", "Zn", "Zn", "Fe", "Fe", "Fe", "Fe"],
  "fractional_positions": [[0.0176, 0.8150, 0.2026], [0.2310, 0.5275, 0.2964], [0.2310, 0.9346, 0.7036], [0.2840, 0.3146, 0.5986], [0.2840, 0.6854, 0.9694], [0.3876, 0.1850, 0.2026], [0.6124, 0.8150, 0.7974], [0.7160, 0.3146, 0.0306], [0.7160, 0.6854, 0.4014], [0.7690, 0.0654, 0.2964], [0.7690, 0.4725, 0.7036], [0.9824, 0.1850, 0.7974], [0.0000, 0.5000, 0.5000], [0.5000, 0.0000, 0.5000], [0.0000, 0.1206, 0.1206], [0.0000, 0.8794, 0.8794], [0.3893, 0.3893, 0.0000], [0.6107, 0.6107, 0.0000]],
  "ef_ev_per_atom": -0.124
}


no.,size of the total moment (μB per cell)
1,0.00
2,0.00
3,8.32
4,0.00
5,0.64
6,0.00
7,0.00
8,8.56
9,0.00
10,0.00
11,10.74
12,2.34
13,0.00
14,0.00
15,1.91
16,2.06
17,0.00
18,0.00
19,0.00
20,3.39